Record 1
Entry from Alexandria: a relaxed structure of ScAgNF2 (GGA-PBE).

Values from the calculation:
Raw formation energy (eV per atom): -0.458
DOS at the Fermi energy (states/eV/f.u.): 2.5

Unit cell a=4.189 b=4.189 c=4.210 alpha=90.00 beta=90.00 gamma=90.00
Fractional coordinates of all 5 atoms:
Sc (0.000, 0.000, 0.000)
Ag (0.500, 0.500, 0.500)
N (0.500, 0.500, 0.000)
F (0.000, 0.500, 0.500)
F (0.500, 0.000, 0.500)


Record 2
Entry from Alexandria: a relaxed structure of AgSeN2F (GGA-PBE).

Values from the calculation:
Raw formation energy (eV per atom): 2.073
DOS at the Fermi energy (states/eV/f.u.): 2.4

Unit cell a=4.068 b=4.068 c=4.677 alpha=90.00 beta=90.00 gamma=90.00
Fractional coordinates of all 5 atoms:
Ag (0.000, 0.000, 0.000)
Se (0.500, 0.500, 0.000)
N (0.000, 0.500, 0.500)
N (0.500, 0.000, 0.500)
F (0.500, 0.500, 0.500)


Record 3
Entry from Alexandria: a relaxed structure of AgSeN2F (GGA-PBE).

Values from the calculation:
Raw formation energy (eV per atom): 1.759
DOS at the Fermi energy (states/eV/f.u.): 3.3

Unit cell a=4.067 b=4.067 c=5.589 alpha=90.00 beta=90.00 gamma=90.00
Fractional coordinates of all 5 atoms:
Ag (0.000, 0.000, 0.000)
Se (0.000, 0.000, 0.500)
N (0.000, 0.500, 0.000)
N (0.500, 0.000, 0.000)
F (0.500, 0.500, 0.500)


Record 4
Entry from Alexandria: a relaxed structure of AgSeNF2 (GGA-PBE).

Values from the calculation:
Raw formation energy (eV per atom): 0.509
DOS at the Fermi energy (states/eV/f.u.): 3.0

Unit cell a=4.299 b=4.299 c=4.260 alpha=90.00 beta=90.00 gamma=90.00
Fractional coordinates of all 5 atoms:
Ag (0.000, 0.000, 0.000)
Se (0.500, 0.500, 0.500)
N (0.000, 0.000, 0.500)
F (0.000, 0.500, 0.000)
F (0.500, 0.000, 0.000)


Record 5
Entry from Alexandria: a relaxed structure of AgSeN2F (GGA-PBE).

Values from the calculation:
Raw formation energy (eV per atom): 1.040
DOS at the Fermi energy (states/eV/f.u.): 2.3

Unit cell a=3.776 b=3.776 c=4.681 alpha=90.00 beta=90.00 gamma=90.00
Fractional coordinates of all 5 atoms:
Ag (0.000, 0.000, 0.000)
Se (0.500, 0.500, 0.500)
N (0.000, 0.500, 0.500)
N (0.500, 0.000, 0.500)
F (0.500, 0.500, 0.000)


Record 6
Entry from Alexandria: a relaxed structure of Ag2SeNF (GGA-PBE).

Values from the calculation:
Raw formation energy (eV per atom): 0.345
DOS at the Fermi energy (states/eV/f.u.): 1.7

Unit cell a=4.523 b=4.523 c=4.083 alpha=90.00 beta=90.00 gamma=90.00
Fractional coordinates of all 5 atoms:
Ag (0.000, 0.500, 0.000)
Ag (0.500, 0.000, 0.000)
Se (0.000, 0.000, 0.500)
N (0.000, 0.000, 0.000)
F (0.500, 0.500, 0.500)


Record 7
Entry from Alexandria: a relaxed structure of AgSeN2F (GGA-PBE).

Values from the calculation:
Raw formation energy (eV per atom): 1.577
DOS at the Fermi energy (states/eV/f.u.): 3.5

Unit cell a=4.192 b=4.192 c=4.155 alpha=90.00 beta=90.00 gamma=90.00
Fractional coordinates of all 5 atoms:
Ag (0.000, 0.000, 0.000)
Se (0.500, 0.500, 0.500)
N (0.000, 0.500, 0.000)
N (0.500, 0.000, 0.000)
F (0.000, 0.000, 0.500)


Record 8
Entry from Alexandria: a relaxed structure of AgSeNF2 (GGA-PBE).

Values from the calculation:
Raw formation energy (eV per atom): -0.049
DOS at the Fermi energy (states/eV/f.u.): 0.6

Unit cell a=4.531 b=4.531 c=3.675 alpha=90.00 beta=90.00 gamma=90.00
Fractional coordinates of all 5 atoms:
Ag (0.000, 0.000, 0.000)
Se (0.500, 0.500, 0.500)
N (0.500, 0.500, 0.000)
F (0.000, 0.500, 0.500)
F (0.500, 0.000, 0.500)